4
Lattice="3.691 0.000 0.000 1.845 3.196 0.000 1.845 1.065 9.748" Properties=species:S:1:pos:R:3 comment="PBE NdDy2Cu, relaxed" de_polymorph_ev_per_atom=0.132 delta_e_f_ev_per_atom=0.03 pbc="T T T"
Dy 1.845 1.065 1.911
Cu 3.691 2.131 0.022
Nd 3.691 2.131 4.847
Dy 1.845 1.065 7.844

=====

13
Lattice="-2.193 2.182 -3.669 8.189 -0.431 -5.150 -5.991 -5.874 0.087" Properties=species:S:1:pos:R:3 comment="PBE Ho8Ir3Pt2, relaxed" delta_e_f_ev_per_atom=-0.87 pbc="T T T"
Ho 2.664 -4.799 -4.446
Pt -2.051 -1.980 -3.090
Pt 2.056 -2.144 -5.642
Ir -3.937 -5.980 -1.203
Ho 4.591 -0.720 -6.310
Ho -4.586 -3.403 -2.422
Ir 6.135 -0.325 -3.860
Ho 3.638 -1.686 -3.177
Ir -1.096 1.091 -1.835
Ho -2.658 0.676 -4.286
Ho 0.485 -0.501 -3.726
Ho -0.479 -3.622 -5.006
Ho -1.440 -4.619 -1.886

=====

10
Lattice="9.336 0.347 0.468 4.934 7.166 0.471 5.167 2.735 6.817" Properties=species:S:1:pos:R:3 comment="PBE K2CdAuI6, relaxed" formation_energy_uncorrected_ev_per_atom=-0.727 pbc="T T T"
I 4.257 4.858 2.087
Cd 14.502 7.641 4.525
I 8.013 2.123 2.467
I 6.712 5.641 5.646
Au 4.777 2.517 0.648
I 3.210 1.052 2.403
K 10.007 5.063 2.766
I 11.512 6.716 5.711
K 4.713 2.705 5.350
I 10.464 2.910 6.027

=====

6
Lattice="0.000 3.343 3.343 3.343 0.000 3.343 3.343 3.343 0.000" Properties=species:S:1:pos:R:3 comment="PBE LiZnCo4, relaxed" delta_e_f_ev_per_atom=0.12 pbc="T T T"
Co 4.179 2.506 4.179
Co 2.506 4.179 4.179
Zn 0.000 0.000 0.000
Co 2.506 2.506 2.506
Co 4.179 4.179 2.506
Li 5.014 5.014 5.014

=====

6
Lattice="-3.950 1.037 -3.853 -4.748 -2.998 -0.030 -4.844 2.398 1.521" Properties=species:S:1:pos:R:3 comment="PBE LaZnGa4, relaxed" delta_e_f_ev_per_atom=-0.22 pbc="T T T"
Ga -6.089 1.774 -1.462
Ga -6.488 -0.246 0.452
Ga -6.041 -0.927 -2.238
La -3.385 0.109 -0.591
Ga -8.466 0.273 -1.477
Zn 0.000 0.000 0.000